# 1
A geometry-optimized Hf2RhSe structure. Source: Alexandria via LeMat-Bulk, functional PBE.

```
8
Lattice="-1.148 1.587 6.892 4.119 -5.525 1.959 3.969 -0.122 4.413" Properties=species:S:1:pos:R:3 pbc="T T T"
Hf 5.614 -3.587 11.072
Hf 4.054 -1.518 6.611
Hf 3.434 -3.300 3.126
Hf 0.779 0.285 5.718
Rh 0.000 0.000 0.000
Rh 2.153 -0.252 7.865
Se 4.787 -3.808 5.399
Se 1.486 -1.969 4.425
```

Computed properties:
Its size of the total moment is 0.00 μB per formula unit. The calculation puts the uncorrected formation energy at -0.469 eV/atom. The value obtained for the mass density is 11.263 Mg/m³. The value obtained for the total energy is -8.1549 eV/atom. The calculation puts the density of states at the Fermi level at 0.59 states/eV per atom.

# 2
A geometry-optimized Hf2RhSe structure. Source: Alexandria via LeMat-Bulk, functional PBE.

```
4
Lattice="-2.474 -0.291 -2.031 -0.526 -2.792 -1.503 -6.254 -3.690 5.605" Properties=species:S:1:pos:R:3 pbc="T T T"
Hf -4.434 -3.810 -1.682
Hf -4.820 -2.963 3.753
Se -4.627 -3.387 1.035
Rh 0.000 0.000 0.000
```

Computed properties:
Its size of the total moment is 0.00 μB per formula unit. The calculation puts the uncorrected formation energy at -0.172 eV/atom. The value obtained for the mass density is 11.133 Mg/m³. The value obtained for the total energy is -7.8573 eV/atom. The calculation puts the density of states at the Fermi level at 0.77 states/eV per atom.

# 3
A geometry-optimized HfRhSe2 structure. Source: Alexandria via LeMat-Bulk, functional PBE.

```
4
Lattice="2.068 0.000 8.138 -1.034 1.791 8.138 -1.034 -1.791 8.138" Properties=species:S:1:pos:R:3 pbc="T T T"
Se 0.000 0.000 2.401
Se 0.000 0.000 22.013
Rh 0.000 0.000 0.000
Hf 0.000 0.000 12.207
```

Computed properties:
Its size of the total moment is 0.49 μB per formula unit. The calculation puts the uncorrected formation energy at -0.456 eV/atom. The value obtained for the mass density is 8.067 Mg/m³. The value obtained for the total energy is -6.5248 eV/atom. The calculation puts the density of states at the Fermi level at 0.68 states/eV per atom. The value obtained for the excess energy over the best structure of this formula in the dataset is 0.31 eV per formula unit.

# 4
A geometry-optimized Hf3RhSe structure. Source: Alexandria via LeMat-Bulk, functional PBE.

```
5
Lattice="4.979 0.000 0.000 0.000 4.979 0.000 0.000 0.000 4.979" Properties=species:S:1:pos:R:3 pbc="T T T"
Rh 0.000 0.000 0.000
Se 2.490 2.490 2.490
Hf 0.000 2.490 0.000
Hf 0.000 0.000 2.490
Hf 2.490 0.000 0.000
```

Computed properties:
Its size of the total moment is 0.00 μB per formula unit. The calculation puts the uncorrected formation energy at 0.116 eV/atom. The value obtained for the mass density is 9.649 Mg/m³. The value obtained for the total energy is -8.0237 eV/atom. The calculation puts the density of states at the Fermi level at 0.66 states/eV per atom. The value obtained for the excess energy over the best structure of this formula in the dataset is 0.00 eV per formula unit.

# 5
A geometry-optimized Sr2HfRhSe structure. Source: Alexandria via LeMat-Bulk, functional PBE.

```
5
Lattice="-2.467 -4.871 2.184 3.668 -0.622 2.756 -2.606 3.198 4.190" Properties=species:S:1:pos:R:3 pbc="T T T"
Hf -0.702 -1.147 4.565
Sr -1.233 -2.435 1.092
Sr -1.303 1.599 2.095
Se 0.000 0.000 0.000
Rh 1.834 -0.311 1.378
```

Computed properties:
Its size of the total moment is 3.07 μB per formula unit. The calculation puts the uncorrected formation energy at 0.227 eV/atom. The value obtained for the mass density is 5.555 Mg/m³. The value obtained for the total energy is -4.6038 eV/atom. The calculation puts the density of states at the Fermi level at 1.45 states/eV per atom.

# 6
A geometry-optimized HfTl2RhSe structure. Source: Alexandria via LeMat-Bulk, functional PBE.

```
5
Lattice="-0.192 -5.354 1.807 0.310 -1.591 -4.683 5.640 -0.068 0.397" Properties=species:S:1:pos:R:3 pbc="T T T"
Rh 2.879 -3.507 -1.240
Tl -0.096 -2.677 0.903
Tl 2.820 -0.034 0.198
Se 0.155 -0.796 -2.341
Hf 0.000 0.000 0.000
```

Computed properties:
Its size of the total moment is 1.05 μB per formula unit. The calculation puts the uncorrected formation energy at 0.756 eV/atom. The value obtained for the mass density is 8.062 Mg/m³. The value obtained for the total energy is -4.3486 eV/atom. The calculation puts the density of states at the Fermi level at 1.61 states/eV per atom.

# 7
A geometry-optimized HfZnRhSe2 structure. Source: Alexandria via LeMat-Bulk, functional PBE.

```
5
Lattice="4.740 0.000 0.000 0.000 4.572 0.000 0.000 0.000 4.740" Properties=species:S:1:pos:R:3 pbc="T T T"
Rh 0.000 2.286 0.000
Hf 2.370 2.286 2.370
Se 0.000 0.000 2.370
Se 2.370 0.000 0.000
Zn 0.000 0.000 0.000
```

Computed properties:
Its size of the total moment is 0.00 μB per formula unit. The calculation puts the uncorrected formation energy at 0.416 eV/atom. The value obtained for the mass density is 8.160 Mg/m³. The value obtained for the total energy is -4.6938 eV/atom. The calculation puts the density of states at the Fermi level at 0.80 states/eV per atom.

# 8
A geometry-optimized HfZnRh2Se structure. Source: Alexandria via LeMat-Bulk, functional PBE.

```
5
Lattice="-0.195 -1.110 4.687 -2.364 -4.307 -1.118 4.253 -2.242 -0.354" Properties=species:S:1:pos:R:3 pbc="T T T"
Hf 0.000 0.000 0.000
Se -1.182 -2.154 -0.559
Rh -0.098 -0.555 2.344
Rh 2.126 -1.121 -0.177
Zn 0.846 -3.830 1.607
```

Computed properties:
Its size of the total moment is 0.00 μB per formula unit. The calculation puts the uncorrected formation energy at 0.573 eV/atom. The value obtained for the mass density is 7.497 Mg/m³. The value obtained for the total energy is -5.3097 eV/atom. The calculation puts the density of states at the Fermi level at 0.40 states/eV per atom.

# 9
A geometry-optimized HfSi2Rh structure. Source: Alexandria via LeMat-Bulk, functional PBE.

```
8
Lattice="4.028 0.000 0.000 0.000 4.028 0.000 2.014 2.014 8.639" Properties=species:S:1:pos:R:3 pbc="T T T"
Si 1.309 3.021 2.160
Si 5.035 4.732 6.479
Si 3.021 3.323 6.479
Si 2.718 1.007 2.160
Rh 2.014 4.028 4.319
Rh 2.014 2.014 0.000
Hf 4.028 2.014 4.319
Hf 0.000 0.000 0.000
```

Computed properties:
Its size of the total moment is 0.00 μB per formula unit. The calculation puts the uncorrected formation energy at -0.295 eV/atom. The value obtained for the mass density is 8.000 Mg/m³. The value obtained for the total energy is -7.3325 eV/atom. The calculation puts the density of states at the Fermi level at 0.79 states/eV per atom.

# 10
A geometry-optimized HfSi2Rh structure. Source: Alexandria via LeMat-Bulk, functional PBE.

```
4
Lattice="3.701 0.876 2.275 -0.234 1.009 4.309 1.471 -2.878 3.033" Properties=species:S:1:pos:R:3 pbc="T T T"
Hf 2.469 -0.496 4.809
Rh 0.000 0.000 0.000
Si 1.234 -0.248 2.404
Si 3.703 -0.744 7.213
```

Computed properties:
Its size of the total moment is 0.00 μB per formula unit. The calculation puts the uncorrected formation energy at -0.345 eV/atom. The value obtained for the mass density is 9.105 Mg/m³. The value obtained for the total energy is -7.3823 eV/atom. The calculation puts the density of states at the Fermi level at 1.10 states/eV per atom.

# 11
A geometry-optimized Hf2SiRh5 structure. Source: Alexandria via LeMat-Bulk, functional PBE.

```
16
Lattice="-0.716 3.137 -2.403 -5.456 -1.016 0.298 -0.732 6.481 8.679" Properties=species:S:1:pos:R:3 pbc="T T T"
Rh -1.792 5.294 4.089
Rh -0.563 1.606 2.264
Rh -5.624 3.859 6.713
Rh -5.111 3.309 2.486
Rh -3.278 0.988 2.266
Rh -2.909 4.478 6.712
Rh -2.168 1.915 -0.210
Rh -3.094 2.733 4.489
Rh -4.735 6.687 6.785
Rh 0.000 0.000 0.000
Hf -1.958 6.957 6.310
Hf -4.945 1.646 0.265
Hf -2.377 3.570 2.013
Hf -4.526 5.032 4.562
Si -0.366 3.240 4.340
Si -2.728 -0.508 0.149
```

Computed properties:
Its size of the total moment is 0.00 μB per formula unit. The calculation puts the uncorrected formation energy at -0.988 eV/atom. The value obtained for the mass density is 12.329 Mg/m³. The value obtained for the total energy is -8.7485 eV/atom. The calculation puts the density of states at the Fermi level at 0.45 states/eV per atom.

# 12
A geometry-optimized HfSiRh5 structure. Source: Alexandria via LeMat-Bulk, functional PBE.

```
7
Lattice="-0.232 -2.223 -3.326 2.915 -2.375 1.384 -4.526 -3.866 2.900" Properties=species:S:1:pos:R:3 pbc="T T T"
Rh -3.700 -4.173 0.634
Rh -1.057 -1.916 -1.060
Rh -2.127 -4.249 2.988
Rh 0.516 -1.992 1.295
Rh -0.921 -4.232 0.479
Hf -2.263 -1.933 1.450
Si 1.342 -2.299 -0.971
```

Computed properties:
Its size of the total moment is 0.00 μB per formula unit. The calculation puts the uncorrected formation energy at -0.673 eV/atom. The value obtained for the mass density is 11.265 Mg/m³. The value obtained for the total energy is -8.1206 eV/atom. The calculation puts the density of states at the Fermi level at 0.69 states/eV per atom.

Number 1: V 19.86 Å³ per atom. Number 2: V 20.09 Å³ per atom. Number 3: V 22.61 Å³ per atom. Number 4: V 24.69 Å³ per atom. Number 5: V 32.02 Å³ per atom. Number 6: V 31.68 Å³ per atom. Number 7: V 20.54 Å³ per atom. Number 8: V 23.42 Å³ per atom. Number 9: V 17.52 Å³ per atom. Number 10: V 15.39 Å³ per atom. Number 11: V 15.14 Å³ per atom. Number 12: V 15.19 Å³ per atom.